# 1
VASP calculation (GGA-PBE) on a relaxed SmDyCuSi crystal.

Structure (CIF):
```
data_SmDyCuSi
_chemical_formula_sum 'Sm4 Dy4 Cu4 Si4'
_symmetry_space_group_name_H-M 'F -4 3 m'
_symmetry_Int_Tables_number 216
_symmetry_space_group_name_Hall 'F -4 2 3'
_cell_length_a 7.056
_cell_length_b 7.056
_cell_length_c 7.056
_cell_angle_alpha 90.00
_cell_angle_beta 90.00
_cell_angle_gamma 90.00
loop_
_atom_site_label
_atom_site_type_symbol
_atom_site_fract_x
_atom_site_fract_y
_atom_site_fract_z
Sm1 Sm 0.000 0.000 0.000
Dy1 Dy 0.000 0.000 0.500
Cu1 Cu 0.250 0.250 0.250
Si1 Si 0.250 0.250 0.750
```

Properties
ΔE_f (raw)   -0.409 eV per atom
Crystal system   cubic
V   22.0 Å³ per atom
E   -0.3762 Ry/atom

# 2
VASP calculation (GGA-PBE) on a relaxed TmNi3B3 crystal.

Structure (CIF):
```
data_TmNi3B3
_chemical_formula_sum 'Tm2 Ni6 B6'
_symmetry_space_group_name_H-M 'P 63/m'
_symmetry_Int_Tables_number 176
_symmetry_space_group_name_Hall '-P 6c'
_cell_length_a 7.5866
_cell_length_b 7.5866
_cell_length_c 3.1533
_cell_angle_alpha 90.00
_cell_angle_beta 90.00
_cell_angle_gamma 120.00
loop_
_atom_site_label
_atom_site_type_symbol
_atom_site_fract_x
_atom_site_fract_y
_atom_site_fract_z
Tm1 Tm 0.3333 0.6667 0.2500
Ni1 Ni 0.0817 0.3318 0.7500
B1 B 0.0401 0.5924 0.7500
```

Properties
Crystal system   hexagonal
ΔH_f (0 K)   -0.22 eV per atom
V   11.2 Å³ per atom
E   -0.4557 Ry/atom

# 3
VASP calculation (GGA-PBE) on a relaxed SrLaMn2 crystal.

Structure (CIF):
```
data_SrLaMn2
_chemical_formula_sum 'Sr1 La1 Mn2'
_symmetry_space_group_name_H-M 'P 4 m m'
_symmetry_Int_Tables_number 99
_symmetry_space_group_name_Hall 'P 4 -2'
_cell_length_a 3.430
_cell_length_b 3.430
_cell_length_c 9.159
_cell_angle_alpha 90.00
_cell_angle_beta 90.00
_cell_angle_gamma 90.00
loop_
_atom_site_label
_atom_site_type_symbol
_atom_site_fract_x
_atom_site_fract_y
_atom_site_fract_z
Sr1 Sr 0.000 0.000 0.000
La1 La 0.500 0.500 0.386
Mn1 Mn 0.000 0.000 0.630
Mn2 Mn 0.500 0.500 0.732
```

Properties
Crystal system   tetragonal
ΔH_f (0 K)   0.38 eV per atom
V   26.9 Å³ per atom
E   -0.4304 Ry/atom

# 4
VASP calculation (GGA-PBE) on a relaxed ScCuRh crystal.

Structure (CIF):
```
data_ScCuRh
_chemical_formula_sum 'Sc4 Cu4 Rh4'
_symmetry_space_group_name_H-M 'F -4 3 m'
_symmetry_Int_Tables_number 216
_symmetry_space_group_name_Hall 'F -4 2 3'
_cell_length_a 6.035
_cell_length_b 6.035
_cell_length_c 6.035
_cell_angle_alpha 90.00
_cell_angle_beta 90.00
_cell_angle_gamma 90.00
loop_
_atom_site_label
_atom_site_type_symbol
_atom_site_fract_x
_atom_site_fract_y
_atom_site_fract_z
Sc1 Sc 0.000 0.000 0.000
Cu1 Cu 0.250 0.250 0.250
Rh1 Rh 0.250 0.250 0.750
```

Properties
Crystal system   cubic
ΔH_f (0 K)   0.00 eV per atom
V   18.3 Å³ per atom
E   -0.4355 Ry/atom

# 5
VASP calculation (GGA-PBE) on a relaxed SmCdInPt crystal.

Structure (CIF):
```
data_SmCdInPt
_chemical_formula_sum 'Sm4 Cd4 In4 Pt4'
_symmetry_space_group_name_H-M 'F -4 3 m'
_symmetry_Int_Tables_number 216
_symmetry_space_group_name_Hall 'F -4 2 3'
_cell_length_a 7.049
_cell_length_b 7.049
_cell_length_c 7.049
_cell_angle_alpha 90.00
_cell_angle_beta 90.00
_cell_angle_gamma 90.00
loop_
_atom_site_label
_atom_site_type_symbol
_atom_site_fract_x
_atom_site_fract_y
_atom_site_fract_z
Sm1 Sm 0.000 0.000 0.000
Cd1 Cd 0.250 0.250 0.250
In1 In 0.000 0.000 0.500
Pt1 Pt 0.250 0.250 0.750
```

Properties
Crystal system   cubic
ΔH_f (0 K)   -0.59 eV per atom
V   21.9 Å³ per atom
E   -0.3086 Ry/atom

# 6
VASP calculation (GGA-PBE) on a relaxed ZrRe2Rh crystal.

Structure (CIF):
```
data_ZrRe2Rh
_chemical_formula_sum 'Zr1 Re2 Rh1'
_symmetry_space_group_name_H-M 'P 4/m m m'
_symmetry_Int_Tables_number 123
_symmetry_space_group_name_Hall '-P 4 2'
_cell_length_a 3.313
_cell_length_b 3.313
_cell_length_c 6.047
_cell_angle_alpha 90.00
_cell_angle_beta 90.00
_cell_angle_gamma 90.00
loop_
_atom_site_label
_atom_site_type_symbol
_atom_site_fract_x
_atom_site_fract_y
_atom_site_fract_z
Zr1 Zr 0.000 0.000 0.000
Re1 Re 0.500 0.500 0.278
Rh1 Rh 0.000 0.000 0.500
```

Properties
Crystal system   tetragonal
ΔH_f (0 K)   0.20 eV per atom
V   16.6 Å³ per atom
E   -0.7347 Ry/atom

# 7
VASP calculation (GGA-PBE) on a relaxed CaTaIr2 crystal.

Structure (CIF):
```
data_CaTaIr2
_chemical_formula_sum 'Ca2 Ta2 Ir4'
_symmetry_space_group_name_H-M 'C 1 m 1'
_symmetry_Int_Tables_number 8
_symmetry_space_group_name_Hall 'C -2y'
_cell_length_a 10.461
_cell_length_b 2.818
_cell_length_c 4.940
_cell_angle_alpha 90.00
_cell_angle_beta 102.62
_cell_angle_gamma 90.00
loop_
_atom_site_label
_atom_site_type_symbol
_atom_site_fract_x
_atom_site_fract_y
_atom_site_fract_z
Ca1 Ca 0.000 0.000 0.000
Ta1 Ta 0.296 0.500 0.368
Ir1 Ir 0.041 0.500 0.515
Ir2 Ir 0.240 0.000 0.834
```

Properties
Crystal system   monoclinic
ΔH_f (0 K)   -0.20 eV per atom
V   17.8 Å³ per atom
E   -0.5952 Ry/atom

# 8
VASP calculation (GGA-PBE) on a relaxed Ca3Ce2UN6 crystal.

Structure (CIF):
```
data_Ca3Ce2UN6
_chemical_formula_sum 'Ca6 Ce4 U2 N12'
_symmetry_space_group_name_H-M 'C 1 2/m 1'
_symmetry_Int_Tables_number 12
_symmetry_space_group_name_Hall '-C 2y'
_cell_length_a 6.166
_cell_length_b 10.686
_cell_length_c 6.069
_cell_angle_alpha 90.00
_cell_angle_beta 109.85
_cell_angle_gamma 90.00
loop_
_atom_site_label
_atom_site_type_symbol
_atom_site_fract_x
_atom_site_fract_y
_atom_site_fract_z
Ca1 Ca 0.000 0.000 0.000
Ca2 Ca 0.000 0.336 0.000
Ce1 Ce 0.000 0.167 0.500
U1 U 0.000 0.500 0.500
N1 N 0.229 0.345 0.720
N2 N 0.238 0.500 0.285
```

Properties
ΔE_f (raw)   -1.347 eV per atom
Crystal system   monoclinic
V   15.7 Å³ per atom
E   -0.5836 Ry/atom

# 9
VASP calculation (GGA-PBE) on a relaxed Pr2CuF crystal.

Structure (CIF):
```
data_Pr2CuF
_chemical_formula_sum 'Pr6 Cu3 F3'
_symmetry_space_group_name_H-M 'R -3 m'
_symmetry_Int_Tables_number 166
_symmetry_space_group_name_Hall '-R 3 2"'
_cell_length_a 4.4004
_cell_length_b 4.4004
_cell_length_c 22.6670
_cell_angle_alpha 90.00
_cell_angle_beta 90.00
_cell_angle_gamma 120.00
loop_
_atom_site_label
_atom_site_type_symbol
_atom_site_fract_x
_atom_site_fract_y
_atom_site_fract_z
Pr1 Pr 0.0000 0.0000 0.1024
Cu1 Cu 0.0000 0.0000 0.5000
F1 F 0.0000 0.0000 0.0000
```

Properties
ΔE_f (raw)   -1.153 eV per atom
Crystal system   trigonal
V   31.7 Å³ per atom
E   -0.3700 Ry/atom

# 10
VASP calculation (GGA-PBE) on a relaxed SrReWC crystal.

Structure (CIF):
```
data_SrReWC
_chemical_formula_sum 'Sr1 Re1 W1 C1'
_symmetry_space_group_name_H-M 'P 1'
_symmetry_Int_Tables_number 1
_symmetry_space_group_name_Hall 'P 1'
_cell_length_a 3.337
_cell_length_b 4.587
_cell_length_c 5.764
_cell_angle_alpha 101.93
_cell_angle_beta 90.04
_cell_angle_gamma 110.41
loop_
_atom_site_label
_atom_site_type_symbol
_atom_site_fract_x
_atom_site_fract_y
_atom_site_fract_z
Sr1 Sr 0.000 0.000 0.000
Re1 Re 0.357 0.712 0.458
W1 W 0.663 0.313 0.562
C1 C 0.255 0.500 0.755
```

Properties
Crystal system   triclinic
ΔH_f (0 K)   0.65 eV per atom
V   20.2 Å³ per atom
E   -0.6191 Ry/atom

# 11
VASP calculation (GGA-PBE) on a relaxed Sm2Cu3Ge4Rh crystal.

Structure (CIF):
```
data_Sm2Cu3Ge4Rh
_chemical_formula_sum 'Sm2 Cu3 Ge4 Rh1'
_symmetry_space_group_name_H-M 'P -4 m 2'
_symmetry_Int_Tables_number 115
_symmetry_space_group_name_Hall 'P -4 -2'
_cell_length_a 4.158
_cell_length_b 4.158
_cell_length_c 10.272
_cell_angle_alpha 90.00
_cell_angle_beta 90.00
_cell_angle_gamma 90.00
loop_
_atom_site_label
_atom_site_type_symbol
_atom_site_fract_x
_atom_site_fract_y
_atom_site_fract_z
Sm1 Sm 0.000 0.500 0.249
Cu1 Cu 0.000 0.000 0.000
Cu2 Cu 0.000 0.500 0.633
Ge1 Ge 0.000 0.000 0.500
Ge2 Ge 0.000 0.500 0.867
Ge3 Ge 0.500 0.500 0.500
Rh1 Rh 0.500 0.500 0.000
```

Properties
Crystal system   tetragonal
ΔH_f (0 K)   -0.57 eV per atom
V   17.8 Å³ per atom
E   -0.3914 Ry/atom

# 12
VASP calculation (GGA-PBE) on a relaxed Ca2YBr crystal.

Structure (CIF):
```
data_Ca2YBr
_chemical_formula_sum 'Ca8 Y4 Br4'
_symmetry_space_group_name_H-M 'F -4 3 m'
_symmetry_Int_Tables_number 216
_symmetry_space_group_name_Hall 'F -4 2 3'
_cell_length_a 8.293
_cell_length_b 8.293
_cell_length_c 8.293
_cell_angle_alpha 90.00
_cell_angle_beta 90.00
_cell_angle_gamma 90.00
loop_
_atom_site_label
_atom_site_type_symbol
_atom_site_fract_x
_atom_site_fract_y
_atom_site_fract_z
Ca1 Ca 0.000 0.000 0.000
Ca2 Ca 0.250 0.250 0.250
Y1 Y 0.250 0.250 0.750
Br1 Br 0.000 0.000 0.500
```

Properties
ΔE_f (raw)   0.011 eV per atom
Crystal system   cubic
V   35.6 Å³ per atom
E   -0.2222 Ry/atom

The lowest E belongs to which entry? ZrRe2Rh

What is the V in the eighth record? 15.7 Å³ per atom

Among the records above, which one has the highest V? Ca2YBr